*1*
A geometry-optimized CsPaS3 structure, computed with PBE-GGA.

Computed properties:
- symmetry = C2/c, No. 15
- total moment (μB per atom) = 0.000

abc: 9.3797 9.3797 7.3067
angles: 90.08 90.08 67.87
Fractional positions:
Cs (0.1760, 0.8240, 0.7500)
Cs (0.3217, 0.6783, 0.2500)
Cs (0.6783, 0.3217, 0.7500)
Cs (0.8240, 0.1760, 0.2500)
Pa (0.1937, 0.3089, 0.8698)
Pa (0.3089, 0.1937, 0.3698)
Pa (0.6911, 0.8063, 0.6302)
Pa (0.8063, 0.6911, 0.1302)
S (0.0659, 0.4421, 0.1991)
S (0.0781, 0.1979, 0.5882)
S (0.1979, 0.0781, 0.0882)
S (0.2998, 0.4280, 0.5913)
S (0.4280, 0.2998, 0.0913)
S (0.4421, 0.0659, 0.6991)
S (0.5579, 0.9341, 0.3009)
S (0.5720, 0.7002, 0.9087)
S (0.7002, 0.5720, 0.4087)
S (0.8021, 0.9219, 0.9118)
S (0.9219, 0.8021, 0.4118)
S (0.9341, 0.5579, 0.8009)

*2*
A geometry-optimized CsPaS3 structure, computed with PBE-GGA.

Computed properties:
- symmetry = Pm-3m, No. 221
- total moment (μB per atom) = 0.000

abc: 5.3061 5.3061 5.3061
angles: 90.00 90.00 90.00
Fractional positions:
Cs (0.0000, 0.0000, 0.0000)
Pa (0.5000, 0.5000, 0.5000)
S (0.0000, 0.5000, 0.5000)
S (0.5000, 0.0000, 0.5000)
S (0.5000, 0.5000, 0.0000)

Of them, the most stable is *2* and the least stable is *1*.

*1*
A geometry-optimized CsPa4S8 structure, computed with PBE-GGA.

Computed properties:
- symmetry = F-43m, No. 216
- total moment (μB per atom) = 0.386

abc: 8.4265 8.4265 8.4265
angles: 60.00 60.00 60.00
Fractional positions:
Cs (0.0000, 0.0000, 0.0000)
Pa (0.1302, 0.6233, 0.6233)
Pa (0.6233, 0.1302, 0.6233)
Pa (0.6233, 0.6233, 0.1302)
Pa (0.6233, 0.6233, 0.6233)
S (0.3935, 0.3935, 0.3935)
S (0.3935, 0.3935, 0.8196)
S (0.3935, 0.8196, 0.3935)
S (0.4484, 0.8505, 0.8505)
S (0.8196, 0.3935, 0.3935)
S (0.8505, 0.4484, 0.8505)
S (0.8505, 0.8505, 0.4484)
S (0.8505, 0.8505, 0.8505)

*2*
A geometry-optimized CsPa4S8 structure, computed with PBE-GGA.

Computed properties:
- symmetry = Cm, No. 8
- total moment (μB per atom) = 0.390

abc: 8.9848 8.9848 12.3631
angles: 125.66 125.66 26.50
Fractional positions:
Cs (0.0000, 0.0000, 0.0000)
Pa (0.0891, 0.0891, 0.7176)
Pa (0.3052, 0.3052, 0.4831)
Pa (0.5792, 0.5792, 0.4265)
Pa (0.7829, 0.7829, 0.0859)
S (0.1920, 0.1920, 0.5938)
S (0.2726, 0.2726, 0.2196)
S (0.2849, 0.2849, 0.9406)
S (0.4848, 0.4848, 0.5334)
S (0.5984, 0.5984, 0.8800)
S (0.6805, 0.6805, 0.3315)
S (0.9022, 0.9022, 0.6582)
S (0.9755, 0.9755, 0.2519)

Of them, the most stable is *2* and the least stable is *1*.

*1*
A geometry-optimized Cs2Pa3S8 structure, computed with PBE-GGA.

Computed properties:
- symmetry = P2/m, No. 10
- total moment (μB per atom) = 0.094

abc: 9.4521 4.1900 11.3224
angles: 90.00 112.25 90.00
Fractional positions:
Cs (0.0316, 0.0000, 0.2653)
Cs (0.9684, 0.0000, 0.7347)
Pa (0.4248, 0.5000, 0.6535)
Pa (0.5000, 0.0000, 0.0000)
Pa (0.5752, 0.5000, 0.3465)
S (0.2372, 0.0000, 0.5975)
S (0.3246, 0.5000, 0.8707)
S (0.3283, 0.5000, 0.3992)
S (0.3953, 0.0000, 0.1851)
S (0.6047, 0.0000, 0.8149)
S (0.6717, 0.5000, 0.6008)
S (0.6754, 0.5000, 0.1293)
S (0.7628, 0.0000, 0.4025)

*2*
A geometry-optimized Cs2Pa3S8 structure, computed with PBE-GGA.

Computed properties:
- symmetry = C2/m, No. 12
- total moment (μB per atom) = 0.091

abc: 9.3461 9.3461 7.0492
angles: 105.99 105.99 52.43
Fractional positions:
Cs (0.2297, 0.2297, 0.1680)
Cs (0.7703, 0.7703, 0.8320)
Pa (0.2434, 0.7566, 0.5000)
Pa (0.5000, 0.5000, 0.0000)
Pa (0.7566, 0.2434, 0.5000)
S (0.0960, 0.0960, 0.4647)
S (0.1910, 0.6332, 0.1204)
S (0.3668, 0.8090, 0.8796)
S (0.4133, 0.4133, 0.6032)
S (0.5867, 0.5867, 0.3968)
S (0.6332, 0.1910, 0.1204)
S (0.8090, 0.3668, 0.8796)
S (0.9040, 0.9040, 0.5353)

Of them, the most stable is *2* and the least stable is *1*.

*1*
A geometry-optimized Cs2PaS4 structure, computed with PBE-GGA.

Computed properties:
- symmetry = I4/mmm, No. 139
- total moment (μB per atom) = 0.087

abc: 5.3678 5.3678 17.6904
angles: 90.00 90.00 90.00
Fractional positions:
Cs (0.0000, 0.0000, 0.1481)
Cs (0.0000, 0.0000, 0.8519)
Cs (0.5000, 0.5000, 0.3519)
Cs (0.5000, 0.5000, 0.6481)
Pa (0.0000, 0.0000, 0.5000)
Pa (0.5000, 0.5000, 0.0000)
S (0.0000, 0.0000, 0.3557)
S (0.0000, 0.0000, 0.6443)
S (0.0000, 0.5000, 0.0000)
S (0.0000, 0.5000, 0.5000)
S (0.5000, 0.0000, 0.0000)
S (0.5000, 0.0000, 0.5000)
S (0.5000, 0.5000, 0.1443)
S (0.5000, 0.5000, 0.8557)

*2*
A geometry-optimized Cs2PaS4 structure, computed with PBE-GGA.

Computed properties:
- symmetry = Pbam, No. 55
- total moment (μB per atom) = 0.146

abc: 8.4912 14.3096 4.2573
angles: 90.00 90.00 90.00
Fractional positions:
Cs (0.0567, 0.1764, 0.0000)
Cs (0.4433, 0.6764, 0.0000)
Cs (0.5567, 0.3236, 0.0000)
Cs (0.9433, 0.8236, 0.0000)
Pa (0.0000, 0.5000, 0.5000)
Pa (0.5000, 0.0000, 0.5000)
S (0.1209, 0.6625, 0.5000)
S (0.1860, 0.4543, 0.0000)
S (0.3140, 0.9543, 0.0000)
S (0.3791, 0.1625, 0.5000)
S (0.6209, 0.8375, 0.5000)
S (0.6860, 0.0457, 0.0000)
S (0.8140, 0.5457, 0.0000)
S (0.8791, 0.3375, 0.5000)

Of them, the most stable is *1* and the least stable is *2*.

*1*
A geometry-optimized Cs2Pa3Se8 structure, computed with PBE-GGA.

Computed properties:
- symmetry = C2/m, No. 12
- total moment (μB per atom) = 0.091

abc: 9.7317 9.7317 7.3160
angles: 105.52 105.52 52.04
Fractional positions:
Cs (0.2340, 0.2340, 0.1688)
Cs (0.7660, 0.7660, 0.8312)
Pa (0.2434, 0.7566, 0.5000)
Pa (0.5000, 0.5000, 0.0000)
Pa (0.7566, 0.2434, 0.5000)
Se (0.0979, 0.0979, 0.4584)
Se (0.1844, 0.6365, 0.1178)
Se (0.3634, 0.8156, 0.8822)
Se (0.4102, 0.4102, 0.6033)
Se (0.5898, 0.5898, 0.3967)
Se (0.6365, 0.1844, 0.1178)
Se (0.8156, 0.3634, 0.8822)
Se (0.9021, 0.9021, 0.5416)

*2*
A geometry-optimized Cs2Pa3Se8 structure, computed with PBE-GGA.

Computed properties:
- symmetry = P2/m, No. 10
- total moment (μB per atom) = 0.094

abc: 9.8985 4.3417 11.8307
angles: 90.00 112.93 90.00
Fractional positions:
Cs (0.0266, 0.0000, 0.2625)
Cs (0.9734, 0.0000, 0.7375)
Pa (0.4257, 0.5000, 0.6544)
Pa (0.5000, 0.0000, 0.0000)
Pa (0.5743, 0.5000, 0.3456)
Se (0.2323, 0.0000, 0.5954)
Se (0.3187, 0.5000, 0.8686)
Se (0.3248, 0.5000, 0.3966)
Se (0.3893, 0.0000, 0.1825)
Se (0.6107, 0.0000, 0.8175)
Se (0.6752, 0.5000, 0.6034)
Se (0.6813, 0.5000, 0.1314)
Se (0.7677, 0.0000, 0.4046)

Of them, the most stable is *1* and the least stable is *2*.

*1*
A geometry-optimized Cs2Pa2Se5 structure, computed with PBE-GGA.

Computed properties:
- symmetry = Cmce, No. 64
- total moment (μB per atom) = 0.223

abc: 9.7034 9.7034 8.0211
angles: 90.00 90.00 48.85
Fractional positions:
Cs (0.2062, 0.2062, 0.0000)
Cs (0.2938, 0.2938, 0.5000)
Cs (0.7062, 0.7062, 0.5000)
Cs (0.7938, 0.7938, 0.0000)
Pa (0.1583, 0.8417, 0.6585)
Pa (0.3417, 0.6583, 0.1585)
Pa (0.6583, 0.3417, 0.8415)
Pa (0.8417, 0.1583, 0.3415)
Se (0.0000, 0.0000, 0.0000)
Se (0.0413, 0.7524, 0.3557)
Se (0.2476, 0.9587, 0.3557)
Se (0.2524, 0.5413, 0.8557)
Se (0.4587, 0.7476, 0.8557)
Se (0.5000, 0.5000, 0.5000)
Se (0.5413, 0.2524, 0.1443)
Se (0.7476, 0.4587, 0.1443)
Se (0.7524, 0.0413, 0.6443)
Se (0.9587, 0.2476, 0.6443)

*2*
A geometry-optimized Cs2Pa2Se5 structure, computed with PBE-GGA.

Computed properties:
- symmetry = C2/m, No. 12
- total moment (μB per atom) = 0.225

abc: 8.3158 8.3158 8.8784
angles: 104.46 104.46 39.85
Fractional positions:
Cs (0.1017, 0.1017, 0.3363)
Cs (0.8983, 0.8983, 0.6637)
Pa (0.3434, 0.3434, 0.0968)
Pa (0.6566, 0.6566, 0.9032)
Se (0.1608, 0.1608, 0.9356)
Se (0.3563, 0.3563, 0.3963)
Se (0.5000, 0.5000, 0.0000)
Se (0.6437, 0.6437, 0.6037)
Se (0.8392, 0.8392, 0.0644)

Of them, the most stable is *1* and the least stable is *2*.